No. 1
Here is a crystal of SrZrCo relaxed with PBEsol from Alexandria. Energies are from meta-GGA SCAN.

Cell and atoms, written as POSCAR:
```
SrZrCo
1.0
4.051 0.000 0.000
-2.025 3.508 0.000
0.000 0.000 5.358
Sr Zr Co
1 1 1
direct
0.000 0.000 0.000
0.667 0.333 0.499
0.333 0.667 0.457
```

Results
VASP energy   -22.95 eV per atom
Energy above the lowest structure with this stoichiometry   295.2 meV/atom
Symmetry   P3m1
Formation enthalpy at 0 K   1.4 eV/f.u.
N(E_F)   3.03 states/eV/cell


No. 2
Here is a crystal of SrZrCo relaxed with PBEsol from Alexandria. Energies are from meta-GGA SCAN.

Cell and atoms, written as POSCAR:
```
SrZrCo
1.0
3.311 0.000 0.000
0.000 3.311 0.000
0.000 0.000 12.545
Sr Zr Co
2 2 2
direct
0.000 0.000 0.000
0.500 0.500 0.500
0.000 0.000 0.262
0.500 0.500 0.762
0.000 0.000 0.678
0.500 0.500 0.178
```

Results
VASP energy   -23.25 eV per atom
Energy above the lowest structure with this stoichiometry   0.0 meV/atom
Symmetry   I4mm
Formation enthalpy at 0 K   0.5 eV/f.u.
N(E_F)   3.63 states/eV/cell


No. 3
Here is a crystal of SrZr2Co relaxed with PBEsol from Alexandria. Energies are from meta-GGA SCAN.

Cell and atoms, written as POSCAR:
```
SrZr2Co
1.0
3.272 0.000 0.000
0.000 3.272 0.000
0.000 0.000 8.392
Sr Zr Co
1 2 1
direct
0.000 0.000 0.000
0.000 0.000 0.600
0.500 0.500 0.356
0.500 0.500 0.740
```

Results
VASP energy   -25.09 eV per atom
Energy above the lowest structure with this stoichiometry   0.0 meV/atom
Symmetry   P4mm
Formation enthalpy at 0 K   0.6 eV/f.u.
N(E_F)   2.88 states/eV/cell


No. 4
Here is a crystal of SrZr4Co relaxed with PBEsol from Alexandria. Energies are from meta-GGA SCAN.

Cell and atoms, written as POSCAR:
```
SrZr4Co
1.0
0.000 4.096 4.096
4.096 0.000 4.096
4.096 4.096 0.000
Sr Zr Co
1 4 1
direct
0.000 0.000 0.000
0.377 0.377 0.377
0.377 0.377 0.870
0.377 0.870 0.377
0.870 0.377 0.377
0.750 0.750 0.750
```

Results
VASP energy   -26.24 eV per atom
Symmetry   F-43m
Formation enthalpy at 0 K   5.0 eV/f.u.
N(E_F)   9.06 states/eV/cell


No. 5
Here is a crystal of SrZr2Co relaxed with PBEsol from Alexandria. Energies are from meta-GGA SCAN.

Cell and atoms, written as POSCAR:
```
SrZr2Co
1.0
5.534 0.000 0.000
0.000 9.987 0.000
0.000 0.000 3.040
Sr Zr Co
2 4 2
direct
0.000 0.000 0.000
0.500 0.500 0.000
0.250 0.250 0.500
0.250 0.750 0.500
0.750 0.250 0.500
0.750 0.750 0.500
0.000 0.500 0.000
0.500 0.000 0.000
```

Results
VASP energy   -24.40 eV per atom
Energy above the lowest structure with this stoichiometry   683.2 meV/atom
Symmetry   Cmmm
Formation enthalpy at 0 K   3.4 eV/f.u.
N(E_F)   8.50 states/eV/cell


No. 6
Here is a crystal of TaCo3 relaxed with PBEsol from Alexandria. Energies are from meta-GGA SCAN.

Cell and atoms, written as POSCAR:
```
TaCo3
1.0
4.632 0.000 0.000
-2.316 4.011 0.000
0.000 0.000 7.570
Ta Co
3 9
direct
0.000 0.000 0.000
0.000 0.000 0.380
0.667 0.333 0.546
0.166 0.331 0.702
0.166 0.834 0.702
0.333 0.667 0.448
0.333 0.667 0.951
0.503 0.007 0.200
0.503 0.497 0.200
0.667 0.333 0.897
0.669 0.834 0.702
0.993 0.497 0.200
```

Results
VASP energy   -29.68 eV per atom
Symmetry   P3m1
Formation enthalpy at 0 K   -0.2 eV/f.u.
N(E_F)   13.36 states/eV/cell


No. 7
Here is a crystal of TaCo7 relaxed with PBEsol from Alexandria. Energies are from meta-GGA SCAN.

Cell and atoms, written as POSCAR:
```
TaCo7
1.0
0.000 3.541 3.541
3.541 0.000 3.541
3.541 3.541 0.000
Ta Co
1 7
direct
0.000 0.000 0.000
0.000 0.000 0.500
0.000 0.500 0.000
0.000 0.500 0.500
0.500 0.000 0.000
0.500 0.000 0.500
0.500 0.500 0.000
0.500 0.500 0.500
```

Results
VASP energy   -23.41 eV per atom
Symmetry   Fm-3m
Formation enthalpy at 0 K   0.4 eV/f.u.
N(E_F)   5.72 states/eV/cell


No. 8
Here is a crystal of TaCo3 relaxed with PBEsol from Alexandria. Energies are from meta-GGA SCAN.

Cell and atoms, written as POSCAR:
```
TaCo3
1.0
2.545 1.469 6.162
-2.545 1.469 6.162
0.000 -2.938 6.162
Ta Co
3 9
direct
0.000 0.000 0.000
0.219 0.219 0.219
0.781 0.781 0.781
0.000 0.500 0.500
0.243 0.714 0.714
0.286 0.286 0.757
0.286 0.757 0.286
0.500 0.000 0.500
0.500 0.500 0.000
0.714 0.243 0.714
0.714 0.714 0.243
0.757 0.286 0.286
```

Results
VASP energy   -29.71 eV per atom
Symmetry   R-3m
Formation enthalpy at 0 K   -0.3 eV/f.u.
N(E_F)   8.70 states/eV/cell


No. 9
Here is a crystal of TaCo3 relaxed with PBEsol from Alexandria. Energies are from meta-GGA SCAN.

Cell and atoms, written as POSCAR:
```
TaCo3
1.0
3.586 0.000 0.000
0.000 3.586 0.000
0.000 0.000 3.586
Ta Co
1 3
direct
0.000 0.000 0.000
0.000 0.500 0.500
0.500 0.000 0.500
0.500 0.500 0.000
```

Results
VASP energy   -29.71 eV per atom
Symmetry   Pm-3m
Formation enthalpy at 0 K   -0.4 eV/f.u.
N(E_F)   3.39 states/eV/cell


No. 10
Here is a crystal of Ta6Co7 relaxed with PBEsol from Alexandria. Energies are from meta-GGA SCAN.

Cell and atoms, written as POSCAR:
```
Ta6Co7
1.0
2.400 1.385 8.607
-2.400 1.385 8.607
0.000 -2.771 8.607
Ta Co
6 7
direct
0.051 0.051 0.051
0.157 0.157 0.157
0.336 0.336 0.336
0.664 0.664 0.664
0.843 0.843 0.843
0.949 0.949 0.949
0.094 0.589 0.589
0.411 0.411 0.906
0.411 0.906 0.411
0.500 0.500 0.500
0.589 0.094 0.589
0.589 0.589 0.094
0.906 0.411 0.411
```

Results
VASP energy   -40.18 eV per atom
Symmetry   R-3m
Formation enthalpy at 0 K   -1.8 eV/f.u.
N(E_F)   15.10 states/eV/cell


No. 11
Here is a crystal of TaCo3 relaxed with PBEsol from Alexandria. Energies are from meta-GGA SCAN.

Cell and atoms, written as POSCAR:
```
TaCo3
1.0
5.100 0.000 0.000
-2.550 4.417 0.000
0.000 0.000 4.091
Ta Co
2 6
direct
0.333 0.667 0.250
0.667 0.333 0.750
0.158 0.315 0.750
0.158 0.842 0.750
0.315 0.158 0.250
0.685 0.842 0.750
0.842 0.158 0.250
0.842 0.685 0.250
```

Results
VASP energy   -29.70 eV per atom
Symmetry   P6_3/mmc
Formation enthalpy at 0 K   -0.3 eV/f.u.
N(E_F)   5.48 states/eV/cell


No. 12
Here is a crystal of TaCo3 relaxed with PBEsol from Alexandria. Energies are from meta-GGA SCAN.

Cell and atoms, written as POSCAR:
```
TaCo3
1.0
4.464 0.000 0.000
0.000 4.464 0.000
0.000 0.000 4.464
Ta Co
1 3
direct
0.000 0.000 0.000
0.000 0.000 0.500
0.000 0.500 0.000
0.500 0.000 0.000
```

Results
VASP energy   -27.40 eV per atom
Symmetry   Pm-3m
Formation enthalpy at 0 K   8.9 eV/f.u.
N(E_F)   3.39 states/eV/cell